No. 1
Computed, not measured: LaTlPd after structural relaxation at the PBE level of DFT.

raw total energy = -4.784 eV per atom
energy of formation from the pure elements = -0.62 eV/atom
SG = No. 12

```
LaTlPd
1.0
-0.683 0.317 4.581
4.474 -3.937 3.292
3.653 3.486 2.656
La Tl Pd
2 2 2
Cartesian
3.351 -1.811 5.330
4.093 1.677 5.199
6.624 -0.959 5.759
0.820 0.825 4.770
2.735 0.065 2.756
4.710 -0.200 7.774
```

---

No. 2
Computed, not measured: La4TlPd12 after structural relaxation at the PBE level of DFT.

raw total energy = -5.719 eV per atom
energy of formation from the pure elements = -0.75 eV/atom
SG = No. 229

```
La4TlPd12
1.0
7.167 0.000 -2.534
-3.583 6.207 -2.534
0.000 0.000 7.601
La Tl Pd
4 1 12
Cartesian
0.000 0.000 3.801
3.583 0.000 -1.267
1.792 3.103 1.267
-1.792 3.103 -1.267
0.000 0.000 0.000
-1.101 1.907 1.557
-2.482 4.299 3.510
2.482 4.299 -3.510
1.101 1.907 -1.557
2.202 0.000 1.557
4.965 0.000 3.510
2.688 1.552 3.801
0.896 4.655 -1.267
4.479 1.552 1.267
-0.896 4.655 1.267
3.583 3.103 -1.267
0.000 3.103 3.801
```

---

No. 3
Computed, not measured: La2TlPd after structural relaxation at the PBE level of DFT.

raw total energy = -4.714 eV per atom
energy of formation from the pure elements = -0.36 eV/atom
SG = No. 122

```
La2TlPd
1.0
8.438 0.000 0.000
0.000 8.438 0.000
4.219 4.219 3.378
Tl Pd La
2 2 4
Cartesian
0.000 0.000 0.000
8.438 4.219 1.689
4.219 4.219 0.000
4.219 8.438 1.689
5.926 2.109 0.844
2.512 6.328 0.844
6.328 6.730 2.533
10.547 10.145 2.533
```

---

No. 4
Computed, not measured: LaTlPd3 after structural relaxation at the PBE level of DFT.

energy above the most stable polymorph in this dataset = 262 meV per atom
raw total energy = -4.868 eV per atom
energy of formation from the pure elements = -0.29 eV/atom
SG = No. 65

```
LaTlPd3
1.0
-1.364 3.291 -1.651
-0.635 -2.058 -3.578
-12.442 -2.192 5.908
La Tl Pd
2 2 6
Cartesian
-9.125 -1.434 0.009
-5.316 0.476 0.670
-3.233 -1.765 -0.848
-9.844 -2.485 3.178
-1.254 -0.317 0.405
-11.823 -3.933 1.925
-7.216 -1.822 2.330
-5.861 -2.428 0.001
-12.229 -1.269 2.902
-2.211 0.311 -2.223
```

---

No. 5
Computed, not measured: La3TlPd12 after structural relaxation at the PBE level of DFT.

raw total energy = -5.615 eV per atom
energy of formation from the pure elements = -0.65 eV/atom
SG = No. 123

```
La3TlPd12
1.0
-3.791 -1.054 1.509
0.666 -4.006 -1.126
6.781 -3.060 14.900
La Tl Pd
3 1 12
Cartesian
1.653 -0.746 3.633
3.390 -1.530 7.450
5.127 -2.314 11.267
0.000 0.000 0.000
-1.563 -2.530 0.192
0.102 -3.281 3.851
1.828 -4.060 7.641
3.553 -4.839 11.432
-1.092 -0.889 2.520
0.634 -1.668 6.312
2.356 -2.446 10.096
4.082 -3.224 13.889
1.136 -2.366 1.203
2.862 -3.145 4.995
4.584 -3.922 8.779
6.310 -4.701 12.571
```

---

No. 6
Computed, not measured: La2Tl8Pd after structural relaxation at the PBE level of DFT.

raw total energy = -3.388 eV per atom
energy of formation from the pure elements = -0.30 eV/atom
SG = No. 123

```
La2Tl8Pd
1.0
-1.424 -4.569 0.996
4.675 -1.408 0.226
0.199 2.678 12.572
La Tl Pd
2 8 1
Cartesian
0.061 0.815 3.825
0.139 1.863 8.746
2.437 0.635 6.399
-0.612 -0.945 6.784
1.688 -2.151 4.542
1.763 -1.148 9.251
2.362 -0.377 1.649
-0.687 -1.957 2.034
2.512 1.647 11.148
-0.537 0.067 11.533
0.000 0.000 0.000
```

---

Total magnetization across the listed records, respectively: 0.00 0.00 0.00 0.00 0.00 0.00 μB/cell.